--- 1 ---
Compound: Ti3CoSn
Source: Alexandria via LeMat-Bulk
Functional: PBE-GGA
Structure: optimized geometry

Cell and atoms, written as extended XYZ:
```
10
Lattice="-3.290 1.749 -1.596 0.454 -5.108 -1.386 -4.481 -1.932 7.123" Properties=species:S:1:pos:R:3 pbc="T T T"
Ti -1.529 -3.730 -0.937
Sn -3.598 -0.751 1.447
Co -4.572 -3.774 5.289
Ti -4.218 -3.127 0.120
Ti -6.451 -4.113 3.645
Ti -5.789 -1.561 5.077
Co -2.746 -1.517 -1.148
Ti -0.867 -1.178 0.496
Sn -3.719 -4.540 2.693
Ti -3.100 -2.163 4.021
```

**Magnetic moment**: 0.00 Bohr magnetons per cell

--- 2 ---
Compound: Ti3CoSn
Source: Alexandria via LeMat-Bulk
Functional: PBE-GGA
Structure: optimized geometry

Cell and atoms, written as extended XYZ:
```
10
Lattice="-2.858 -0.967 1.978 3.677 -6.511 2.129 0.612 6.074 3.853" Properties=species:S:1:pos:R:3 pbc="T T T"
Co -1.483 1.810 3.679
Co 2.913 -3.214 4.282
Ti 1.744 -1.525 3.419
Ti 1.667 -2.189 6.274
Ti -0.237 0.785 1.687
Ti 0.586 -4.224 3.717
Ti -0.313 0.121 4.542
Sn -0.955 -1.915 2.620
Sn 2.385 0.511 5.341
Ti 0.845 2.820 4.244
```

**Magnetic moment**: 0.00 Bohr magnetons per cell

Short version: 2 is the most stable of them.

--- 1 ---
Compound: Tl2Co2Sn
Source: Alexandria via LeMat-Bulk
Functional: PBE-GGA
Structure: optimized geometry

Cell and atoms, written as extended XYZ:
```
10
Lattice="-4.762 -0.098 -4.870 4.863 -0.475 -4.746 -0.158 -3.962 0.235" Properties=species:S:1:pos:R:3 pbc="T T T"
Co -0.967 -0.389 -7.226
Sn 0.000 0.000 0.000
Tl -2.426 -2.225 -5.586
Tl 0.862 -2.445 -7.084
Co 2.468 -0.443 -5.819
Co -2.367 -0.130 -3.797
Sn 0.050 -0.287 -4.808
Co 1.068 -0.184 -2.391
Tl 2.369 -2.310 -3.796
Tl -0.919 -2.091 -2.298
```

**Magnetic moment**: 0.00 Bohr magnetons per cell

--- 2 ---
Compound: Tl2Co2Sn
Source: Alexandria via LeMat-Bulk
Functional: PBE-GGA
Structure: optimized geometry

Cell and atoms, written as extended XYZ:
```
5
Lattice="4.267 0.000 0.000 0.000 4.267 0.000 2.133 2.133 5.793" Properties=species:S:1:pos:R:3 pbc="T T T"
Sn 0.000 0.000 0.000
Tl 2.133 4.267 2.897
Tl 4.267 2.133 2.897
Co 4.267 4.267 4.702
Co 2.133 2.133 1.092
```

**Magnetic moment**: 2.60 Bohr magnetons per cell

Short version: 1 is the most stable of them.

--- 1 ---
Compound: Tl2CoSn
Source: Alexandria via LeMat-Bulk
Functional: PBE-GGA
Structure: optimized geometry

Cell and atoms, written as extended XYZ:
```
4
Lattice="-3.544 -2.957 -2.250 -4.000 -1.729 2.715 -4.703 1.857 -0.892" Properties=species:S:1:pos:R:3 pbc="T T T"
Tl -3.062 -0.707 -0.107
Co 0.000 0.000 0.000
Sn -6.123 -1.414 -0.213
Tl -9.185 -2.121 -0.320
```

**Magnetic moment**: 1.52 Bohr magnetons per cell

--- 2 ---
Compound: Tl2CoSn
Source: Alexandria via LeMat-Bulk
Functional: PBE-GGA
Structure: optimized geometry

Cell and atoms, written as extended XYZ:
```
8
Lattice="10.057 0.000 0.000 0.000 10.057 0.000 5.028 5.028 2.446" Properties=species:S:1:pos:R:3 pbc="T T T"
Co 5.028 5.028 0.000
Tl 12.571 10.052 1.834
Co 5.028 10.057 1.223
Tl 7.542 10.061 1.834
Tl 5.024 2.514 0.611
Sn 10.057 5.028 1.223
Sn 0.000 0.000 0.000
Tl 5.032 7.542 0.611
```

**Magnetic moment**: 0.00 Bohr magnetons per cell

Short version: 2 is the most stable of them.

--- 1 ---
Compound: VCo3Sn
Source: Alexandria via LeMat-Bulk
Functional: PBE-GGA
Structure: optimized geometry

Cell and atoms, written as extended XYZ:
```
5
Lattice="-4.279 1.558 -0.612 -1.582 -3.218 2.873 0.545 2.887 3.533" Properties=species:S:1:pos:R:3 pbc="T T T"
Co 0.273 1.443 1.766
Co -2.140 0.779 -0.306
Sn 0.000 0.000 0.000
Co -0.791 -1.609 1.437
V -2.658 0.613 2.897
```

**Magnetic moment**: 6.33 Bohr magnetons per cell

--- 2 ---
Compound: VCo3Sn
Source: Alexandria via LeMat-Bulk
Functional: PBE-GGA
Structure: optimized geometry

Cell and atoms, written as extended XYZ:
```
5
Lattice="4.260 0.000 0.000 0.000 4.260 0.000 0.000 0.000 4.260" Properties=species:S:1:pos:R:3 pbc="T T T"
Co 2.130 0.000 0.000
Co 0.000 0.000 2.130
V 0.000 0.000 0.000
Sn 2.130 2.130 2.130
Co 0.000 2.130 0.000
```

**Magnetic moment**: 0.39 Bohr magnetons per cell

Short version: 2 is the most stable of them.

--- 1 ---
Compound: CoSn2W2
Source: Alexandria via LeMat-Bulk
Functional: PBE-GGA
Structure: optimized geometry

Cell and atoms, written as extended XYZ:
```
5
Lattice="3.828 0.000 0.000 0.000 3.828 0.000 1.914 1.914 6.835" Properties=species:S:1:pos:R:3 pbc="T T T"
Sn 3.828 1.914 3.417
Co 0.000 0.000 0.000
Sn 1.914 3.828 3.417
W 1.914 1.914 1.194
W 3.828 3.828 5.641
```

**Magnetic moment**: 1.73 Bohr magnetons per cell

--- 2 ---
Compound: CoSn2W2
Source: Alexandria via LeMat-Bulk
Functional: PBE-GGA
Structure: optimized geometry

Cell and atoms, written as extended XYZ:
```
10
Lattice="6.509 0.000 0.000 0.000 6.509 0.000 0.000 0.000 4.390" Properties=species:S:1:pos:R:3 pbc="T T T"
W 4.156 0.901 0.000
Sn 1.128 4.382 2.195
Sn 2.127 1.128 2.195
W 5.608 4.156 0.000
Sn 4.382 5.381 2.195
Co 3.254 3.254 0.000
W 2.353 5.608 0.000
Co 0.000 0.000 0.000
W 0.901 2.353 0.000
Sn 5.381 2.127 2.195
```

**Magnetic moment**: 3.01 Bohr magnetons per cell

Short version: 2 is the most stable of them.

--- 1 ---
Compound: ZnCo2Sn2
Source: Alexandria via LeMat-Bulk
Functional: PBE-GGA
Structure: optimized geometry

Cell and atoms, written as extended XYZ:
```
10
Lattice="6.725 0.000 0.000 0.000 6.725 0.000 0.000 0.000 3.526" Properties=species:S:1:pos:R:3 pbc="T T T"
Sn 2.287 1.075 1.763
Co 4.312 0.950 0.000
Sn 4.437 5.650 1.763
Sn 1.075 4.437 1.763
Co 2.413 5.775 0.000
Sn 5.650 2.287 1.763
Co 0.950 2.413 0.000
Co 5.775 4.312 0.000
Zn 3.362 3.362 0.000
Zn 0.000 0.000 0.000
```

**Magnetic moment**: 0.00 Bohr magnetons per cell

--- 2 ---
Compound: ZnCo2Sn2
Source: Alexandria via LeMat-Bulk
Functional: PBE-GGA
Structure: optimized geometry

Cell and atoms, written as extended XYZ:
```
10
Lattice="7.487 0.000 0.000 0.000 7.487 0.000 0.000 0.000 2.932" Properties=species:S:1:pos:R:3 pbc="T T T"
Sn 6.318 4.913 0.000
Co 1.039 4.782 1.466
Sn 2.574 6.318 0.000
Sn 4.913 1.169 0.000
Zn 3.744 3.744 0.000
Co 2.705 1.039 1.466
Co 6.449 2.705 1.466
Co 4.782 6.449 1.466
Sn 1.169 2.574 0.000
Zn 0.000 0.000 0.000
```

**Magnetic moment**: 0.71 Bohr magnetons per cell

Short version: 1 is the most stable of them.